VASP calculation (meta-GGA SCAN) on a crystal of YOsN2O relaxed with PBEsol.

Properties
Space group: No. 123

```
YOsN2O
1.0
-0.086 3.928 1.141
0.756 -1.160 4.049
4.211 0.296 -0.702
O N Y Os
1 2 1 1
direct
0.500 0.000 0.000 O
0.000 0.000 0.500 N
0.000 0.500 0.000 N
0.000 0.000 0.000 Y
0.500 0.500 0.500 Os
```


VASP calculation (meta-GGA SCAN) on a crystal of La3OsI3 relaxed with PBEsol.

Properties
Space group: No. 214

```
La3OsI3
1.0
-4.442 6.980 6.829
2.826 -8.887 5.304
8.696 4.413 -4.472
La I Os
12 12 4
direct
0.960 0.980 0.230 La
0.520 0.540 0.270 La
0.250 0.520 0.480 La
0.980 0.730 0.460 La
0.730 0.960 0.480 La
0.520 0.980 0.750 La
0.980 0.250 0.020 La
0.250 0.730 0.270 La
0.770 0.520 0.040 La
0.540 0.770 0.020 La
0.770 0.250 0.230 La
0.730 0.770 0.750 La
0.750 0.262 0.738 I
0.238 0.750 0.762 I
0.262 0.238 0.250 I
0.024 0.012 0.762 I
0.262 0.024 0.512 I
0.012 0.262 0.524 I
0.476 0.238 0.988 I
0.238 0.488 0.976 I
0.750 0.488 0.512 I
0.012 0.750 0.988 I
0.488 0.012 0.250 I
0.488 0.476 0.738 I
0.500 0.750 0.500 Os
0.750 0.750 0.250 Os
0.750 0.000 0.000 Os
0.000 0.500 0.250 Os
```


no.,ΔE_f (raw) (eV/atom),final energy (eV per atom),size of the total moment (Bohr magnetons per cell)
1,1.455,-23.4525,4.3
2,-1.230,-45.7190,0.0